Na4AgPb: optimized geometry, GGA-PBE.

Calculated values
As for the relative energy among the computed polymorphs: 0.0 meV/atom. Its formation energy is -0.52 eV per formula unit.

a = 5.596 Å, b = 9.977 Å, c = 12.302 Å
α = 90.00°, β = 102.59°, γ = 90.00°
Space group C2/m (No. 12)
Inequivalent atoms, fractional coordinates:
Na (0.000, 0.165, 0.000)
Na (0.136, 0.167, 0.272)
Na (0.204, 0.500, 0.410)
Ag (0.000, 0.249, 0.500)
Pb (0.061, 0.500, 0.133)

=====

OsI: optimized geometry, GGA-PBE.

Calculated values
The calculation puts the uncorrected formation energy at 1.787 eV per atom. As for the relative energy among the computed polymorphs: 1178.8 meV/atom.

a = 5.511 Å, b = 5.511 Å, c = 5.511 Å
α = 90.00°, β = 90.00°, γ = 90.00°
Space group Fm-3m (No. 225)
Inequivalent atoms, fractional coordinates:
Os (0.000, 0.000, 0.000)
I (0.000, 0.000, 0.500)

=====

RbOs2RuAu: optimized geometry, GGA-PBE.

Calculated values
Its formation energy is 8.07 eV per formula unit.

a = 4.737 Å, b = 4.737 Å, c = 5.377 Å
α = 90.00°, β = 90.00°, γ = 90.00°
Space group P4/mmm (No. 123)
Inequivalent atoms, fractional coordinates:
Rb (0.000, 0.000, 0.000)
Os (0.000, 0.500, 0.500)
Ru (0.500, 0.500, 0.500)
Au (0.500, 0.500, 0.000)

=====

| no. | energy (eV per cell) | size of the total moment (μB/atom) |
| --- | --- | --- |
| 1 | -49.41 | 0.000 |
| 2 | -36.82 | 0.056 |
| 3 | -27.91 | 0.362 |